Li2MnP2O7: relaxed, PBE+U.

Output
ΔE to the lowest computed polymorph = 33 meV per atom
Magnetization = 10.000 Bohr magnetons per cell
Space group = No. 2

Cell lengths 5.2519, 6.3473, 8.7962 Å; angles 72.47, 87.22, 84.46 degrees
Element x y z (fractional)
Li: 0.6934 0.0567 0.8401
Li: 0.3066 0.9433 0.1599
Li: 0.2026 0.7877 0.5404
Li: 0.7974 0.2123 0.4596
Mn: 0.2441 0.4417 0.2580
Mn: 0.7559 0.5583 0.7420
P: 0.7893 0.1921 0.1311
P: 0.7158 0.7459 0.3522
P: 0.2107 0.8079 0.8689
P: 0.2842 0.2541 0.6478
O: 0.5737 0.2862 0.6371
O: 0.4263 0.7138 0.3629
O: 0.8024 0.8440 0.4787
O: 0.2604 0.0713 0.8273
O: 0.0702 0.1980 0.1695
O: 0.3967 0.7205 0.7594
O: 0.6033 0.2795 0.2406
O: 0.7396 0.9287 0.1727
O: 0.8859 0.5442 0.3404
O: 0.7302 0.2759 0.9537
O: 0.1141 0.4558 0.6596
O: 0.2698 0.7241 0.0463
O: 0.1976 0.1560 0.5213
O: 0.9298 0.8020 0.8305